No. 1
# Li4MgTlPd2 | the Open Quantum Materials Database | PBE | relaxed
# **E_tot**: -3.125 eV/atom
# **Crystal system**: tetragonal
data_Li4MgTlPd2
_chemical_formula_sum 'Li4 Mg1 Tl1 Pd2'
_symmetry_space_group_name_H-M 'P -4 m 2'
_symmetry_Int_Tables_number 115
_cell_length_a 4.5030
_cell_length_b 4.5030
_cell_length_c 6.3597
_cell_angle_alpha 90.00
_cell_angle_beta 90.00
_cell_angle_gamma 90.00
loop_
_symmetry_equiv_pos_as_xyz
'x,y,z'
'y,-x,-z'
'-x,-y,z'
'-y,x,-z'
'-x,y,z'
'-y,-x,-z'
'x,-y,z'
'y,x,-z'
loop_
_atom_site_label
_atom_site_type_symbol
_atom_site_fract_x
_atom_site_fract_y
_atom_site_fract_z
Li1 Li 0.0000 0.0000 0.0000
Li2 Li 0.0000 0.5000 0.2492
Li3 Li 0.5000 0.5000 0.5000
Mg1 Mg 0.5000 0.5000 0.0000
Tl1 Tl 0.0000 0.0000 0.5000
Pd1 Pd 0.0000 0.5000 0.7648


No. 2
# LiPmMg | the Open Quantum Materials Database | PBE | relaxed
# **E_tot**: -2.110 eV/atom
# **Crystal system**: cubic
data_LiPmMg
_chemical_formula_sum 'Li4 Pm4 Mg4'
_symmetry_space_group_name_H-M 'F -4 3 m'
_symmetry_Int_Tables_number 216
_symmetry_space_group_name_Hall 'F -4 2 3'
_cell_length_a 7.2660
_cell_length_b 7.2660
_cell_length_c 7.2660
_cell_angle_alpha 90.00
_cell_angle_beta 90.00
_cell_angle_gamma 90.00
loop_
_atom_site_label
_atom_site_type_symbol
_atom_site_fract_x
_atom_site_fract_y
_atom_site_fract_z
Li1 Li 0.0000 0.0000 0.0000
Pm1 Pm 0.2500 0.2500 0.2500
Mg1 Mg 0.0000 0.0000 0.5000


No. 3
# LiPmMg | the Open Quantum Materials Database | PBE | relaxed
# **E_tot**: -2.428 eV/atom
# **Crystal system**: cubic
data_LiPmMg
_chemical_formula_sum 'Li4 Pm4 Mg4'
_symmetry_space_group_name_H-M 'F -4 3 m'
_symmetry_Int_Tables_number 216
_symmetry_space_group_name_Hall 'F -4 2 3'
_cell_length_a 6.9400
_cell_length_b 6.9400
_cell_length_c 6.9400
_cell_angle_alpha 90.00
_cell_angle_beta 90.00
_cell_angle_gamma 90.00
loop_
_atom_site_label
_atom_site_type_symbol
_atom_site_fract_x
_atom_site_fract_y
_atom_site_fract_z
Li1 Li 0.0000 0.0000 0.0000
Pm1 Pm 0.2500 0.2500 0.2500
Mg1 Mg 0.2500 0.2500 0.7500